Entry 1:
Density functional theory data (GGA-PBE) for crystalline Y5Cu2Hg at its relaxed geometry.

Geometry as CIF:
```
data_Y5Cu2Hg
_symmetry_space_group_name_H-M 'P 1'
_symmetry_Int_Tables_number 1
_cell_length_a 8.554
_cell_length_b 8.554
_cell_length_c 8.554
_cell_angle_alpha 124.80
_cell_angle_beta 124.80
_cell_angle_gamma 81.87
loop_
_symmetry_equiv_pos_as_xyz
'x,y,z'
loop_
_atom_site_label
_atom_site_type_symbol
_atom_site_fract_x
_atom_site_fract_y
_atom_site_fract_z
Y1 Y 0.000 0.000 0.000
Y2 Y 0.016 0.516 0.816
Y3 Y 0.200 0.016 0.500
Y4 Y 0.300 0.800 0.816
Y5 Y 0.484 0.300 0.500
Y6 Y 0.500 0.500 0.000
Y7 Y 0.516 0.700 0.500
Y8 Y 0.700 0.200 0.184
Y9 Y 0.800 0.984 0.500
Y10 Y 0.984 0.484 0.184
Cu1 Cu 0.128 0.372 0.500
Cu2 Cu 0.372 0.872 0.244
Cu3 Cu 0.628 0.128 0.756
Cu4 Cu 0.872 0.628 0.500
Hg1 Hg 0.250 0.250 0.000
Hg2 Hg 0.750 0.750 0.000
```

Values from the calculation:
E: -5.343 eV/atom
crystal system: tetragonal
calculated formation energy: -241 meV/atom
V: 405.9 Å³ per cell
space group: I4/mcm
N(E_F): 10.6 states/eV/f.u.


Entry 2:
Density functional theory data (GGA-PBE) for crystalline Y2Cu2Hg at its relaxed geometry.

Geometry as CIF:
```
data_Y2Cu2Hg
_symmetry_space_group_name_H-M 'P 1'
_symmetry_Int_Tables_number 1
_cell_length_a 5.428
_cell_length_b 5.428
_cell_length_c 5.428
_cell_angle_alpha 119.50
_cell_angle_beta 119.50
_cell_angle_gamma 90.86
loop_
_symmetry_equiv_pos_as_xyz
'x,y,z'
loop_
_atom_site_label
_atom_site_type_symbol
_atom_site_fract_x
_atom_site_fract_y
_atom_site_fract_z
Y1 Y 0.250 0.750 0.500
Y2 Y 0.750 0.250 0.500
Cu1 Cu 0.146 0.146 0.000
Cu2 Cu 0.854 0.854 0.000
Hg1 Hg 0.500 0.500 0.000
```

Values from the calculation:
E: -4.409 eV/atom
crystal system: tetragonal
calculated formation energy: -125 meV/atom
V: 114.0 Å³ per cell
space group: I4/mmm
N(E_F): 0.5 states/eV/f.u.


Entry 3:
Density functional theory data (GGA-PBE) for crystalline YZnCu2Hg at its relaxed geometry.

Geometry as CIF:
```
data_YZnCu2Hg
_symmetry_space_group_name_H-M 'P 1'
_symmetry_Int_Tables_number 1
_cell_length_a 5.310
_cell_length_b 5.310
_cell_length_c 5.926
_cell_angle_alpha 90.00
_cell_angle_beta 90.00
_cell_angle_gamma 90.00
loop_
_symmetry_equiv_pos_as_xyz
'x,y,z'
loop_
_atom_site_label
_atom_site_type_symbol
_atom_site_fract_x
_atom_site_fract_y
_atom_site_fract_z
Y1 Y 0.000 0.000 0.000
Zn1 Zn 0.500 0.500 0.500
Cu1 Cu 0.000 0.500 0.000
Cu2 Cu 0.500 0.000 0.000
Hg1 Hg 0.000 0.000 0.500
```

Values from the calculation:
E: -2.303 eV/atom
crystal system: tetragonal
calculated formation energy: 943 meV/atom
V: 167.1 Å³ per cell
space group: P4/mmm
N(E_F): 3.3 states/eV/f.u.


Entry 4:
Density functional theory data (GGA-PBE) for crystalline Y4Zn2CuHg at its relaxed geometry.

Geometry as CIF:
```
data_Y4Zn2CuHg
_symmetry_space_group_name_H-M 'P 1'
_symmetry_Int_Tables_number 1
_cell_length_a 8.821
_cell_length_b 8.821
_cell_length_c 8.821
_cell_angle_alpha 33.58
_cell_angle_beta 33.58
_cell_angle_gamma 33.58
loop_
_symmetry_equiv_pos_as_xyz
'x,y,z'
loop_
_atom_site_label
_atom_site_type_symbol
_atom_site_fract_x
_atom_site_fract_y
_atom_site_fract_z
Y1 Y 0.120 0.120 0.120
Y2 Y 0.371 0.371 0.371
Y3 Y 0.629 0.629 0.629
Y4 Y 0.880 0.880 0.880
Zn1 Zn 0.249 0.249 0.249
Zn2 Zn 0.751 0.751 0.751
Cu1 Cu 0.000 0.000 0.000
Hg1 Hg 0.500 0.500 0.500
```

Values from the calculation:
E: -4.456 eV/atom
crystal system: trigonal
calculated formation energy: -356 meV/atom
V: 187.0 Å³ per cell
space group: R-3m
N(E_F): 6.4 states/eV/f.u.